Computed, not measured: crystalline PuZnCo2O6 at its relaxed geometry at the PBE with a Hubbard U level of DFT.

Structure (POSCAR):
```
PuZnCo2O6
1.0
2.610 1.507 4.762
-2.610 1.507 4.762
0.000 -3.014 4.762
Pu Zn Co O
1 1 2 6
direct
0.000 0.000 0.000
0.484 0.484 0.484
0.209 0.209 0.209
0.687 0.687 0.687
0.065 0.791 0.426
0.317 0.585 0.896
0.426 0.065 0.791
0.585 0.896 0.317
0.791 0.426 0.065
0.896 0.317 0.585
```

Properties
Calculated total energy: -7.17 eV per atom
Mass density: 7733 kg/m3
D(E_F): 0.969 states/eV/atom